Tb5S7 | meta-GGA SCAN | PBEsol geometry

a = 3.778 Å, b = 6.647 Å, c = 11.481 Å
α = 104.13°, β = 90.00°, γ = 106.51°
Element x y z (fractional)
S1 0.340 0.680 0.949
S2 0.660 0.320 0.051
S3 0.041 0.082 0.784
S4 0.260 0.519 0.649
S5 0.740 0.481 0.351
S6 0.500 0.000 0.500
S7 0.959 0.918 0.216
Tb1 0.112 0.225 0.421
Tb2 0.300 0.601 0.189
Tb3 0.700 0.399 0.811
Tb4 0.888 0.775 0.579
Tb5 0.000 0.000 0.000

Calculated values
E_tot = -329.48 eV/cell
size of the total moment = 0.000 μB per atom